# 1
DFT (PBE) results for a geometry-optimized La2TlMo structure.

POSCAR file:
```
La2TlMo
1.0
3.340 0.008 0.000
-1.419 3.023 0.000
0.000 0.000 10.752
La Tl Mo
2 1 1
direct
0.000 0.000 0.980 La
0.500 0.500 0.305 La
0.500 0.500 0.713 Tl
0.000 0.000 0.502 Mo
```

Properties
Magnetic moment, μB per cell: 0.00
Final energy, eV/f.u.: -21.41
Symmetry: Cmm2
Calculated density, g cm⁻³: 8.8
Energy relative to the elements, eV per atom: 0.4109
E above lowest polymorph, meV per atom: 251.4

---

# 2
DFT (PBE) results for a geometry-optimized Ho3CuAu structure.

POSCAR file:
```
Ho3CuAu
1.0
3.727 -0.001 -0.001
0.001 8.794 0.380
0.002 3.414 8.127
Ho Au Cu
6 2 2
direct
0.863 0.617 0.049 Ho
0.863 0.771 0.443 Ho
0.863 0.392 0.822 Ho
0.363 0.348 0.400 Ho
0.363 0.041 0.093 Ho
0.863 0.997 0.670 Ho
0.363 0.694 0.746 Au
0.863 0.193 0.248 Au
0.364 0.194 0.747 Cu
0.363 0.694 0.246 Cu
```

Properties
Magnetic moment, μB per cell: 0.00
Final energy, eV/f.u.: -22.39
Symmetry: Pm
Calculated density, g cm⁻³: 9.6
Energy relative to the elements, eV per atom: -0.2561